Crystalline Ca3GeMo at its relaxed geometry, computed with PBE.

Properties
- ΔE_f: 619 meV per atom
- Calculated volume: 182 Å³/f.u.
- Polymorph energy (0 for the lowest one): 0 meV per atom
- Symmetry: No. 221
- M_tot: 5.6 μB/cell

Cell: 5.6633 5.6633 5.6633 Å, 90.00 90.00 90.00°
Last column: nearest neighbours and their distance in Å.
Sites, in units of the cell vectors:
Ca: 0.0000 0.0000 0.5000  2 Ge 2.83
Ca: 0.0000 0.5000 0.0000  2 Ge 2.83
Ca: 0.5000 0.0000 0.0000  2 Ge 2.83
Ge: 0.0000 0.0000 0.0000  6 Ca 2.83
Mo: 0.5000 0.5000 0.5000  12 Ca 4.00

***

Crystalline B2SbRh4 at its relaxed geometry, computed with PBE.

Properties
- Energy relative to the elements, uncorrected: -22.6 kJ/mol of atoms
- Calculated volume: 95 Å³/f.u.
- Symmetry: No. 9
- M_tot: 0.0 μB/cell

Cell: 7.1394 7.1394 5.4750 Å, 112.22 112.22 112.11°
Last column: nearest neighbours and their distance in Å.
Sites, in units of the cell vectors:
B: 0.0691 0.9309 0.5000  6 Rh 2.14-2.25
B: 0.5040 0.9805 0.1638  4 Rh 2.08-2.17
B: 0.9309 0.0691 0.0000  6 Rh 2.14-2.25
B: 0.9805 0.5040 0.6638  4 Rh 2.08-2.17
Sb: 0.3765 0.6176 0.2785  4 Rh 2.52-2.59, 1 B 2.80
Sb: 0.6176 0.3765 0.7785  4 Rh 2.52-2.59, 1 B 2.80
Rh: 0.1725 0.8303 0.1541  3 B 2.14-2.25
Rh: 0.1850 0.2776 0.5257  2 B 2.14-2.22
Rh: 0.2414 0.7541 0.6502  3 B 2.08-2.23
Rh: 0.2776 0.1850 0.0257  2 B 2.14-2.22
Rh: 0.7182 0.8133 0.0675  3 B 2.15-2.36
Rh: 0.7541 0.2414 0.1502  3 B 2.08-2.23
Rh: 0.8133 0.7182 0.5675  3 B 2.15-2.36
Rh: 0.8303 0.1725 0.6541  3 B 2.14-2.25

***

Crystalline TaCoHgRu2 at its relaxed geometry, computed with PBE.

Properties
- ΔE_f: 1039 meV per atom
- Calculated volume: 90 Å³/f.u.
- Symmetry: No. 123
- M_tot: 1.3 μB/cell

Cell: 4.4968 4.4968 4.4475 Å, 90.00 90.00 90.00°
Last column: nearest neighbours and their distance in Å.
Sites, in units of the cell vectors:
Ta: 0.0000 0.0000 0.0000  2 Co 2.22
Co: 0.0000 0.0000 0.5000  2 Ta 2.22, 4 Ru 2.25
Hg: 0.5000 0.5000 0.0000  8 Ru 3.16, 4 Ta 3.18
Ru: 0.0000 0.5000 0.5000  2 Co 2.25
Ru: 0.5000 0.0000 0.5000  2 Co 2.25

***

Crystalline KGe at its relaxed geometry, computed with PBE.

Properties
- ΔE_f: 41 meV per atom
- Calculated volume: 64 Å³/f.u.
- Polymorph energy (0 for the lowest one): 254 meV per atom
- Symmetry: No. 71
- M_tot: 0.0 μB/cell

Cell: 3.8933 5.7708 17.0718 Å, 90.00 90.00 90.00°
Last column: nearest neighbours and their distance in Å.
Sites, in units of the cell vectors:
K: 0.0000 0.0000 0.0000  8 Ge 3.39-3.48, 4 K 3.69
K: 0.0000 0.5000 0.3162  5 Ge 3.61-3.73, 4 K 3.69-3.89
K: 0.0000 0.5000 0.6838  5 Ge 3.61-3.73, 4 K 3.69-3.89
K: 0.5000 0.0000 0.1838  5 Ge 3.61-3.73, 4 K 3.69-3.89
K: 0.5000 0.0000 0.8162  5 Ge 3.61-3.73, 4 K 3.69-3.89
K: 0.5000 0.5000 0.5000  8 Ge 3.39-3.48, 4 K 3.69
Ge: 0.0000 0.0000 0.5000  4 Ge 2.64
Ge: 0.0000 0.5000 0.1047  2 Ge 2.64
Ge: 0.0000 0.5000 0.8953  2 Ge 2.64
Ge: 0.5000 0.0000 0.3953  2 Ge 2.64
Ge: 0.5000 0.0000 0.6047  2 Ge 2.64
Ge: 0.5000 0.5000 0.0000  4 Ge 2.64

***

Crystalline MgZrW at its relaxed geometry, computed with PBE.

Properties
- ΔE_f: 329 meV per atom
- Calculated volume: 58 Å³/f.u.
- Polymorph energy (0 for the lowest one): 61 meV per atom
- Symmetry: No. 107
- M_tot: 0.0 μB/cell

Cell: 2.8234 2.8234 14.6511 Å, 90.00 90.00 90.00°
Last column: nearest neighbours and their distance in Å.
Sites, in units of the cell vectors:
Mg: 0.0000 0.0000 0.0000  4 Mg 2.82, 4 W 3.02
Mg: 0.5000 0.5000 0.5000  4 Mg 2.82, 4 W 3.02
Zr: 0.0000 0.0000 0.3152  4 Zr 2.82, 4 W 3.09
Zr: 0.5000 0.5000 0.8152  4 Zr 2.82, 4 W 3.09
W: 0.0000 0.0000 0.6543  4 W 2.82, 4 Mg 3.02, 4 Zr 3.09
W: 0.5000 0.5000 0.1543  4 W 2.82, 4 Mg 3.02, 4 Zr 3.09

***

Crystalline PmNpHgGe at its relaxed geometry, computed with PBE.

Properties
- ΔE_f: -163 meV per atom
- Calculated volume: 101 Å³/f.u.
- Symmetry: No. 216
- M_tot: 20.8 μB/cell

Cell: 7.4002 7.4002 7.4002 Å, 90.00 90.00 90.00°
Last column: nearest neighbours and their distance in Å.
Sites, in units of the cell vectors:
Pm: 0.0000 0.0000 0.0000  4 Ge 3.20, 4 Hg 3.20
Pm: 0.0000 0.5000 0.5000  4 Ge 3.20, 4 Hg 3.20
Pm: 0.5000 0.0000 0.5000  4 Ge 3.20, 4 Hg 3.20
Pm: 0.5000 0.5000 0.0000  4 Ge 3.20, 4 Hg 3.20
Np: 0.0000 0.0000 0.5000  4 Hg 3.20, 4 Ge 3.20
Np: 0.0000 0.5000 0.0000  4 Hg 3.20, 4 Ge 3.20
Np: 0.5000 0.0000 0.0000  4 Hg 3.20, 4 Ge 3.20
Np: 0.5000 0.5000 0.5000  4 Hg 3.20, 4 Ge 3.20
Hg: 0.2500 0.2500 0.7500  4 Pm 3.20, 4 Np 3.20
Hg: 0.2500 0.7500 0.2500  4 Pm 3.20, 4 Np 3.20
Hg: 0.7500 0.2500 0.2500  4 Pm 3.20, 4 Np 3.20
Hg: 0.7500 0.7500 0.7500  4 Pm 3.20, 4 Np 3.20
Ge: 0.2500 0.2500 0.2500  4 Pm 3.20, 4 Np 3.20
Ge: 0.2500 0.7500 0.7500  4 Pm 3.20, 4 Np 3.20
Ge: 0.7500 0.2500 0.7500  4 Pm 3.20, 4 Np 3.20
Ge: 0.7500 0.7500 0.2500  4 Pm 3.20, 4 Np 3.20

***

Crystalline YAl at its relaxed geometry, computed with PBE.

Properties
- ΔE_f: 131 meV per atom
- Calculated volume: 50 Å³/f.u.
- Symmetry: No. 194
- M_tot: 0.0 μB/cell

Cell: 5.2960 5.2960 8.2760 Å, 90.00 90.00 120.00°
Last column: nearest neighbours and their distance in Å.
Sites, in units of the cell vectors:
Y: 0.0000 0.0000 0.2500  3 Y 3.06, 6 Al 3.30
Y: 0.0000 0.0000 0.7500  3 Y 3.06, 6 Al 3.30
Y: 0.3333 0.6667 0.2500  2 Al 2.90, 3 Y 3.06
Y: 0.6667 0.3333 0.7500  2 Al 2.90, 3 Y 3.06
Al: 0.3333 0.6667 0.6007  1 Al 2.47
Al: 0.3333 0.6667 0.8993  1 Al 2.47
Al: 0.6667 0.3333 0.1007  1 Al 2.47
Al: 0.6667 0.3333 0.3993  1 Al 2.47

***

Crystalline SmTlHg6 at its relaxed geometry, computed with PBE.

Properties
- ΔE_f: -172 meV per atom
- Calculated volume: 209 Å³/f.u.
- Polymorph energy (0 for the lowest one): 0 meV per atom
- Symmetry: No. 38
- M_tot: 0.0 μB/cell

Cell: 5.2085 6.7517 11.8860 Å, 90.00 90.00 90.00°
Last column: nearest neighbours and their distance in Å.
Sites, in units of the cell vectors:
Sm: 0.0000 0.0000 0.0000  12 Hg 3.26-3.42
Sm: 0.0000 0.5000 0.5000  12 Hg 3.26-3.42
Tl: 0.5000 0.0000 0.6617  12 Hg 3.31-3.43
Tl: 0.5000 0.5000 0.1617  12 Hg 3.31-3.43
Hg: 0.0000 0.0000 0.4898  8 Hg 3.24-3.57, 2 Tl 3.31, 2 Sm 3.38
Hg: 0.0000 0.2424 0.2521  8 Hg 3.23-3.57, 2 Tl 3.31, 2 Sm 3.41-3.42
Hg: 0.0000 0.2576 0.7521  8 Hg 3.23-3.57, 2 Tl 3.31, 2 Sm 3.41-3.42
Hg: 0.0000 0.5000 0.9898  8 Hg 3.24-3.57, 2 Tl 3.31, 2 Sm 3.38
Hg: 0.0000 0.7424 0.7521  8 Hg 3.23-3.57, 2 Tl 3.31, 2 Sm 3.41-3.42
Hg: 0.0000 0.7576 0.2521  8 Hg 3.23-3.57, 2 Tl 3.31, 2 Sm 3.41-3.42
Hg: 0.5000 0.0000 0.1652  8 Hg 3.24-3.43, 2 Sm 3.26, 2 Tl 3.38
Hg: 0.5000 0.2486 0.9133  8 Hg 3.23-3.43, 2 Sm 3.27, 2 Tl 3.41-3.43
Hg: 0.5000 0.2514 0.4133  8 Hg 3.23-3.43, 2 Sm 3.27, 2 Tl 3.41-3.43
Hg: 0.5000 0.5000 0.6652  8 Hg 3.24-3.43, 2 Sm 3.26, 2 Tl 3.38
Hg: 0.5000 0.7486 0.4133  8 Hg 3.23-3.43, 2 Sm 3.27, 2 Tl 3.41-3.43
Hg: 0.5000 0.7514 0.9133  8 Hg 3.23-3.43, 2 Sm 3.27, 2 Tl 3.41-3.43

***

Crystalline Al4Ni at its relaxed geometry, computed with PBE.

Properties
- ΔE_f: -246 meV per atom
- Calculated volume: 77 Å³/f.u.
- Polymorph energy (0 for the lowest one): 0 meV per atom
- Symmetry: No. 15
- M_tot: 0.0 μB/cell

Cell: 8.5091 8.5091 8.6523 Å, 119.15 119.15 87.22°
Last column: nearest neighbours and their distance in Å.
Sites, in units of the cell vectors:
Al: 0.0000 0.5000 0.5000  2 Ni 2.46, 4 Al 2.71-2.72
Al: 0.0241 0.4514 0.8441  2 Ni 2.42-2.52, 1 Al 2.65
Al: 0.0576 0.8581 0.0388  3 Ni 2.43-2.69
Al: 0.1258 0.8742 0.7500  2 Ni 2.40
Al: 0.1419 0.9424 0.4612  3 Ni 2.43-2.69
Al: 0.2250 0.2987 0.3874  2 Ni 2.41-2.48, 2 Al 2.61-2.62
Al: 0.2987 0.2250 0.8874  2 Ni 2.41-2.48, 2 Al 2.61-2.62
Al: 0.3095 0.6409 0.8945  7 Al 2.64-2.95, 1 Ni 2.69
Al: 0.3170 0.4555 0.2383  2 Ni 2.40-2.41, 4 Al 2.61-2.67
Al: 0.3591 0.6905 0.6055  7 Al 2.64-2.95, 1 Ni 2.69
Al: 0.4514 0.0241 0.3441  2 Ni 2.42-2.52, 1 Al 2.65
Al: 0.4555 0.3170 0.7383  2 Ni 2.40-2.41, 4 Al 2.61-2.67
Al: 0.5000 0.0000 0.0000  2 Ni 2.46, 4 Al 2.71-2.72
Al: 0.5445 0.6830 0.2617  2 Ni 2.40-2.41, 4 Al 2.61-2.67
Al: 0.5486 0.9759 0.6559  2 Ni 2.42-2.52, 1 Al 2.65
Al: 0.6409 0.3095 0.3945  7 Al 2.64-2.95, 1 Ni 2.69
Al: 0.6830 0.5445 0.7617  2 Ni 2.40-2.41, 4 Al 2.61-2.67
Al: 0.6905 0.3591 0.1055  7 Al 2.64-2.95, 1 Ni 2.69
Al: 0.7013 0.7750 0.1126  2 Ni 2.41-2.48, 2 Al 2.61-2.62
Al: 0.7750 0.7013 0.6126  2 Ni 2.41-2.48, 2 Al 2.61-2.62
Al: 0.8581 0.0576 0.5388  3 Ni 2.43-2.69
Al: 0.8742 0.1258 0.2500  2 Ni 2.40
Al: 0.9424 0.1419 0.9612  3 Ni 2.43-2.69
Al: 0.9759 0.5486 0.1559  2 Ni 2.42-2.52, 1 Al 2.65
Ni: 0.1287 0.2811 0.6076  8 Al 2.40-2.69
Ni: 0.2610 0.7390 0.2500  6 Al 2.40-2.52
Ni: 0.2811 0.1287 0.1076  8 Al 2.40-2.69
Ni: 0.7189 0.8713 0.8924  8 Al 2.40-2.69
Ni: 0.7390 0.2610 0.7500  6 Al 2.40-2.52
Ni: 0.8713 0.7189 0.3924  8 Al 2.40-2.69

***

Crystalline LaCr2SnN at its relaxed geometry, computed with PBE.

Properties
- Energy relative to the elements, uncorrected: 27.0 kJ/mol of atoms
- Calculated volume: 93 Å³/f.u.
- Symmetry: No. 123
- M_tot: 5.1 μB/cell

Cell: 4.2466 4.2466 5.1664 Å, 90.00 90.00 90.00°
Last column: nearest neighbours and their distance in Å.
Sites, in units of the cell vectors:
La: 0.0000 0.0000 0.0000  4 Sn 3.00, 8 Cr 3.34
Cr: 0.0000 0.5000 0.5000  2 N 2.12
Cr: 0.5000 0.0000 0.5000  2 N 2.12
Sn: 0.5000 0.5000 0.0000  2 N 2.58
N: 0.5000 0.5000 0.5000  4 Cr 2.12

***

Crystalline ScFe2H7 at its relaxed geometry, computed with PBE.

Properties
- Calculated volume: 66 Å³/f.u.
- Symmetry: No. 65
- Energy: -47.84 eV per cell
- M_tot: 1.6 μB/cell

Cell: 4.6440 4.6440 3.3262 Å, 90.00 90.00 112.65°
Last column: nearest neighbours and their distance in Å.
Sites, in units of the cell vectors:
Sc: 0.0000 0.0000 0.0000  10 H 2.18-2.21
Fe: 0.2922 0.7078 0.5000  7 H 1.61-1.69
Fe: 0.7078 0.2922 0.5000  7 H 1.61-1.69
H: 0.0655 0.3238 0.5000  2 Fe 1.61-1.69
H: 0.2860 0.7140 0.0000  2 Fe 1.66
H: 0.3238 0.0655 0.5000  2 Fe 1.61-1.69
H: 0.5000 0.5000 0.5000  2 Fe 1.61
H: 0.6762 0.9345 0.5000  2 Fe 1.61-1.69
H: 0.7140 0.2860 0.0000  2 Fe 1.66
H: 0.9345 0.6762 0.5000  2 Fe 1.61-1.69

***

Crystalline LaInI at its relaxed geometry, computed with PBE.

Properties
- Energy relative to the elements, uncorrected: -96.8 kJ/mol of atoms
- Calculated volume: 116 Å³/f.u.
- Symmetry: No. 12
- M_tot: 0.0 μB/cell

Cell: 8.1351 4.6942 12.4656 Å, 90.00 102.88 90.00°
Last column: nearest neighbours and their distance in Å.
Sites, in units of the cell vectors:
La: 0.0635 0.0000 0.1852  3 In 3.25, 3 I 3.33
La: 0.4365 0.5000 0.8148  3 In 3.25, 3 I 3.33
La: 0.5635 0.5000 0.1852  3 In 3.25, 3 I 3.33
La: 0.9365 0.0000 0.8148  3 In 3.25, 3 I 3.33
In: 0.1537 0.5000 0.9622  3 In 2.86
In: 0.3463 0.0000 0.0378  3 In 2.86
In: 0.6537 0.0000 0.9622  3 In 2.86
In: 0.8463 0.5000 0.0378  3 In 2.86
I: 0.2156 0.0000 0.6559  3 La 3.33
I: 0.2844 0.5000 0.3441  3 La 3.33
I: 0.7156 0.5000 0.6559  3 La 3.33
I: 0.7844 0.0000 0.3441  3 La 3.33